DFT (PBE) results for crystalline YCr2H at its relaxed geometry.

Output
- Space-group type: No. 227
- Distance to the lowest polymorph of the same formula: 0.0000 eV per atom

Cell lengths 5.3916, 5.3916, 5.3916 Å; angles 60.00, 60.00, 60.00 degrees
With the nearest neighbours (Å) after each atom.
Fractional positions:
Y 0.1250 0.1250 0.1250  12 Cr 3.16, 4 Y 3.30, 4 H 3.30
Y 0.8750 0.8750 0.8750  12 Cr 3.16, 4 H 3.30, 4 Y 3.30
Cr 0.0000 0.5000 0.5000  2 H 1.65
Cr 0.5000 0.0000 0.5000  2 H 1.65
Cr 0.5000 0.5000 0.0000  2 H 1.65
Cr 0.5000 0.5000 0.5000  2 H 1.65
H 0.3750 0.3750 0.3750  4 Cr 1.65
H 0.6250 0.6250 0.6250  4 Cr 1.65



DFT (PBE) results for crystalline Y2CrH2 at its relaxed geometry.

Output
- Space-group type: No. 139
- E: -6.036 eV/atom

Cell lengths 6.7529, 6.7529, 6.7529 Å; angles 148.67, 148.67, 44.90 degrees
With the nearest neighbours (Å) after each atom.
Fractional positions:
Y 0.1464 0.1464 0.0000  4 H 2.24
Y 0.8536 0.8536 0.0000  4 H 2.24
Cr 0.5000 0.5000 0.0000  8 Y 3.16
H 0.2500 0.7500 0.5000  4 Y 2.24
H 0.7500 0.2500 0.5000  4 Y 2.24



DFT (PBE) results for crystalline Y2CrH at its relaxed geometry.

Output
- Space-group type: No. 225
- Distance to the lowest polymorph of the same formula: 0.4009 eV per atom

Cell lengths 4.9205, 4.9205, 4.9205 Å; angles 60.00, 60.00, 60.00 degrees
With the nearest neighbours (Å) after each atom.
Fractional positions:
Y 0.2500 0.2500 0.2500  4 Cr 3.01, 4 H 3.01
Y 0.7500 0.7500 0.7500  4 Cr 3.01, 4 H 3.01
Cr 0.0000 0.0000 0.0000  8 Y 3.01
H 0.5000 0.5000 0.5000  8 Y 3.01



DFT (PBE) results for crystalline Y12Cr3H5 at its relaxed geometry.

Output
- Space-group type: No. 230
- E: -6.155 eV/atom

Cell lengths 13.3055, 13.3055, 13.3055 Å; angles 109.47, 109.47, 109.47 degrees
With the nearest neighbours (Å) after each atom.
Fractional positions:
Y 0.0194 0.2100 0.1162  1 H 2.19
Y 0.0194 0.3094 0.9032  1 H 2.19
Y 0.0938 0.7100 0.6906  1 H 2.19
Y 0.0938 0.8838 0.4032  1 H 2.19
Y 0.0968 0.6162 0.4062  1 H 2.19
Y 0.0968 0.9806 0.6906  1 H 2.19
Y 0.1162 0.0194 0.2100  1 H 2.19
Y 0.1162 0.5968 0.9062  1 H 2.19
Y 0.1906 0.2100 0.5938  1 H 2.19
Y 0.1906 0.4806 0.5968  1 H 2.19
Y 0.2100 0.1162 0.0194  1 H 2.19
Y 0.2100 0.5938 0.1906  1 H 2.19
Y 0.2900 0.3094 0.9062  1 H 2.19
Y 0.2900 0.4806 0.3838  1 H 2.19
Y 0.3094 0.9032 0.0194  1 H 2.19
Y 0.3094 0.9062 0.2900  1 H 2.19
Y 0.3838 0.2900 0.4806  1 H 2.19
Y 0.3838 0.5938 0.9032  1 H 2.19
Y 0.4032 0.0938 0.8838  1 H 2.19
Y 0.4032 0.8094 0.5194  1 H 2.19
Y 0.4062 0.0968 0.6162  1 H 2.19
Y 0.4062 0.8094 0.7900  1 H 2.19
Y 0.4806 0.3838 0.2900  1 H 2.19
Y 0.4806 0.5968 0.1906  1 H 2.19
Y 0.5194 0.4032 0.8094  1 H 2.19
Y 0.5194 0.6162 0.7100  1 H 2.19
Y 0.5938 0.1906 0.2100  1 H 2.19
Y 0.5938 0.9032 0.3838  1 H 2.19
Y 0.5968 0.1906 0.4806  1 H 2.19
Y 0.5968 0.9062 0.1162  1 H 2.19
Y 0.6162 0.4062 0.0968  1 H 2.19
Y 0.6162 0.7100 0.5194  1 H 2.19
Y 0.6906 0.0938 0.7100  1 H 2.19
Y 0.6906 0.0968 0.9806  1 H 2.19
Y 0.7100 0.5194 0.6162  1 H 2.19
Y 0.7100 0.6906 0.0938  1 H 2.19
Y 0.7900 0.4062 0.8094  1 H 2.19
Y 0.7900 0.8838 0.9806  1 H 2.19
Y 0.8094 0.5194 0.4032  1 H 2.19
Y 0.8094 0.7900 0.4062  1 H 2.19
Y 0.8838 0.4032 0.0938  1 H 2.19
Y 0.8838 0.9806 0.7900  1 H 2.19
Y 0.9032 0.0194 0.3094  1 H 2.19
Y 0.9032 0.3838 0.5938  1 H 2.19
Y 0.9062 0.1162 0.5968  1 H 2.19
Y 0.9062 0.2900 0.3094  1 H 2.19
Y 0.9806 0.6906 0.0968  1 H 2.19
Y 0.9806 0.7900 0.8838  1 H 2.19
Cr 0.1250 0.2500 0.3750  8 Y 3.03-3.06
Cr 0.1250 0.3750 0.7500  8 Y 3.03-3.06
Cr 0.2500 0.3750 0.1250  8 Y 3.03-3.06
Cr 0.2500 0.8750 0.6250  8 Y 3.03-3.06
Cr 0.3750 0.1250 0.2500  8 Y 3.03-3.06
Cr 0.3750 0.7500 0.1250  8 Y 3.03-3.06
Cr 0.6250 0.2500 0.8750  8 Y 3.03-3.06
Cr 0.6250 0.8750 0.7500  8 Y 3.03-3.06
Cr 0.7500 0.1250 0.3750  8 Y 3.03-3.06
Cr 0.7500 0.6250 0.8750  8 Y 3.03-3.06
Cr 0.8750 0.6250 0.2500  8 Y 3.03-3.06
Cr 0.8750 0.7500 0.6250  8 Y 3.03-3.06
H 0.0000 0.0000 0.0000  6 Y 2.58
H 0.0000 0.0000 0.5000  6 Y 2.58
H 0.0000 0.5000 0.0000  6 Y 2.58
H 0.0000 0.5000 0.5000  6 Y 2.58
H 0.1250 0.7500 0.8750  4 Y 2.19
H 0.1250 0.8750 0.2500  4 Y 2.19
H 0.2500 0.1250 0.8750  4 Y 2.19
H 0.2500 0.6250 0.3750  4 Y 2.19
H 0.3750 0.2500 0.6250  4 Y 2.19
H 0.3750 0.6250 0.7500  4 Y 2.19
H 0.5000 0.0000 0.0000  6 Y 2.58
H 0.5000 0.0000 0.5000  6 Y 2.58
H 0.5000 0.5000 0.0000  6 Y 2.58
H 0.5000 0.5000 0.5000  6 Y 2.58
H 0.6250 0.3750 0.2500  4 Y 2.19
H 0.6250 0.7500 0.3750  4 Y 2.19
H 0.7500 0.3750 0.6250  4 Y 2.19
H 0.7500 0.8750 0.1250  4 Y 2.19
H 0.8750 0.1250 0.7500  4 Y 2.19
H 0.8750 0.2500 0.1250  4 Y 2.19



DFT (PBE) results for crystalline Y3CrH at its relaxed geometry.

Output
- Space-group type: No. 221
- Distance to the lowest polymorph of the same formula: 0.0000 eV per atom

Cell lengths 4.8148, 4.8148, 4.8148 Å; angles 90.00, 90.00, 90.00 degrees
With the nearest neighbours (Å) after each atom.
Fractional positions:
Y 0.0000 0.0000 0.5000  2 H 2.41
Y 0.0000 0.5000 0.0000  2 H 2.41
Y 0.5000 0.0000 0.0000  2 H 2.41
Cr 0.5000 0.5000 0.5000  12 Y 3.40
H 0.0000 0.0000 0.0000  6 Y 2.41



DFT (PBE) results for crystalline YCr3H at its relaxed geometry.

Output
- Space-group type: No. 221
- Distance to the lowest polymorph of the same formula: 0.0000 eV per atom

Cell lengths 4.1414, 4.1414, 4.1414 Å; angles 90.00, 90.00, 90.00 degrees
With the nearest neighbours (Å) after each atom.
Fractional positions:
Y 0.0000 0.0000 0.0000  12 Cr 2.93
Cr 0.0000 0.5000 0.5000  2 H 2.07
Cr 0.5000 0.0000 0.5000  2 H 2.07
Cr 0.5000 0.5000 0.0000  2 H 2.07
H 0.5000 0.5000 0.5000  6 Cr 2.07



DFT (PBE) results for crystalline YCr3H at its relaxed geometry.

Output
- Space-group type: No. 221
- Distance to the lowest polymorph of the same formula: 2.0062 eV per atom

Cell lengths 5.2165, 5.2165, 5.2165 Å; angles 90.00, 90.00, 90.00 degrees
With the nearest neighbours (Å) after each atom.
Fractional positions:
Y 0.0000 0.0000 0.0000  6 Cr 2.61
Cr 0.0000 0.0000 0.5000  2 Y 2.61
Cr 0.0000 0.5000 0.0000  2 Y 2.61
Cr 0.5000 0.0000 0.0000  2 Y 2.61
H 0.5000 0.5000 0.5000  12 Cr 3.69



DFT (PBE) results for crystalline YCr2H at its relaxed geometry.

Output
- Space-group type: No. 225
- Distance to the lowest polymorph of the same formula: 1.0548 eV per atom

Cell lengths 4.6316, 4.6316, 4.6316 Å; angles 60.00, 60.00, 60.00 degrees
With the nearest neighbours (Å) after each atom.
Fractional positions:
Y 0.0000 0.0000 0.0000  8 Cr 2.84
Cr 0.2500 0.2500 0.2500  4 H 2.84, 4 Y 2.84
Cr 0.7500 0.7500 0.7500  4 Y 2.84, 4 H 2.84
H 0.5000 0.5000 0.5000  8 Cr 2.84



DFT (PBE) results for crystalline Y2CrH6 at its relaxed geometry.

Output
- Space-group type: No. 225
- E: -5.255 eV/atom

Cell lengths 4.9326, 4.9326, 4.9326 Å; angles 60.00, 60.00, 60.00 degrees
With the nearest neighbours (Å) after each atom.
Fractional positions:
Y 0.2500 0.2500 0.2500  12 H 2.47
Y 0.7500 0.7500 0.7500  12 H 2.47
Cr 0.0000 0.0000 0.0000  6 H 1.72
H 0.2468 0.2468 0.7532  1 Cr 1.72
H 0.2468 0.7532 0.2468  1 Cr 1.72
H 0.2468 0.7532 0.7532  1 Cr 1.72
H 0.7532 0.2468 0.2468  1 Cr 1.72
H 0.7532 0.2468 0.7532  1 Cr 1.72
H 0.7532 0.7532 0.2468  1 Cr 1.72



DFT (PBE) results for crystalline Y2CrH at its relaxed geometry.

Output
- Space-group type: No. 122
- Distance to the lowest polymorph of the same formula: 0.0000 eV per atom

Cell lengths 6.0040, 6.0040, 6.0040 Å; angles 110.60, 110.60, 107.23 degrees
With the nearest neighbours (Å) after each atom.
Fractional positions:
Y 0.0305 0.6250 0.9055  2 H 2.20
Y 0.3750 0.2805 0.4055  2 H 2.20
Y 0.7195 0.1250 0.0945  2 H 2.20
Y 0.8750 0.9695 0.5945  2 H 2.20
Cr 0.2500 0.7500 0.5000  8 Y 3.04-3.34
Cr 0.5000 0.5000 0.0000  8 Y 3.04-3.34
H 0.0000 0.0000 0.0000  4 Y 2.20
H 0.7500 0.2500 0.5000  4 Y 2.20



DFT (PBE) results for crystalline Zn2Cr2H at its relaxed geometry.

Output
- Space-group type: No. 127
- Distance to the lowest polymorph of the same formula: 0.0000 eV per atom

Cell lengths 5.0395, 5.0395, 4.5386 Å; angles 90.00, 90.00, 90.00 degrees
With the nearest neighbours (Å) after each atom.
Fractional positions:
Zn 0.1703 0.3297 0.0000  5 Zn 2.43-2.64, 2 Cr 2.61
Zn 0.3297 0.8297 0.0000  5 Zn 2.43-2.64, 2 Cr 2.61
Zn 0.6703 0.1703 0.0000  5 Zn 2.43-2.64, 2 Cr 2.61
Zn 0.8297 0.6703 0.0000  5 Zn 2.43-2.64, 2 Cr 2.61
Cr 0.1496 0.6496 0.5000  2 H 1.92, 1 Cr 2.13
Cr 0.3504 0.1496 0.5000  2 H 1.92, 1 Cr 2.13
Cr 0.6496 0.8504 0.5000  2 H 1.92, 1 Cr 2.13
Cr 0.8504 0.3504 0.5000  2 H 1.92, 1 Cr 2.13
H 0.0000 0.0000 0.5000  4 Cr 1.92
H 0.5000 0.5000 0.5000  4 Cr 1.92



DFT (PBE) results for crystalline Zn2CrH2 at its relaxed geometry.

Output
- Space-group type: No. 127
- Distance to the lowest polymorph of the same formula: 0.0000 eV per atom

Cell lengths 5.2966, 5.2966, 3.7845 Å; angles 90.00, 90.00, 90.00 degrees
With the nearest neighbours (Å) after each atom.
Fractional positions:
Zn 0.2477 0.2523 0.0000  2 H 1.89
Zn 0.2523 0.7523 0.0000  2 H 1.89
Zn 0.7477 0.2477 0.0000  2 H 1.89
Zn 0.7523 0.7477 0.0000  2 H 1.89
Cr 0.0000 0.0000 0.5000  4 H 1.87
Cr 0.5000 0.5000 0.5000  4 H 1.87
H 0.2466 0.2534 0.5000  2 Cr 1.87, 2 Zn 1.89
H 0.2534 0.7534 0.5000  2 Cr 1.87, 2 Zn 1.89
H 0.7466 0.2466 0.5000  2 Cr 1.87, 2 Zn 1.89
H 0.7534 0.7466 0.5000  2 Cr 1.87, 2 Zn 1.89